An optimized crystal structure of SbAuBr, computed with PBE. Values from VASP.

Structure (Quantum ESPRESSO input):
```
&SYSTEM
  ibrav = 0, nat = 6, ntyp = 3
/
ATOMIC_SPECIES
Sb 121.76 Sb.upf
Au 196.97 Au.upf
Br 79.90 Br.upf
CELL_PARAMETERS angstrom
5.064 0.000 0.000
0.000 3.998 0.000
-1.761 0.000 8.387
ATOMIC_POSITIONS crystal
Sb 0.044 0.250 0.174
Sb 0.956 0.750 0.826
Au 0.364 0.750 0.077
Au 0.636 0.250 0.923
Br 0.289 0.250 0.643
Br 0.711 0.750 0.357
```

Output
The value obtained for the raw formation energy is -0.5 eV/f.u. The calculation puts the excess energy over the best structure of this formula in the dataset at 0 meV/atom. The calculated total energy is -3.184 eV/atom. The total magnetic moment is 0.00 μB per formula unit. Its crystal system is monoclinic. Its space group is P2_1/m.


An optimized crystal structure of Ba2CeMnSe5, computed with PBE. Values from VASP.

Structure (Quantum ESPRESSO input):
```
&SYSTEM
  ibrav = 0, nat = 18, ntyp = 4
/
ATOMIC_SPECIES
Ba 137.33 Ba.upf
Ce 140.12 Ce.upf
Mn 54.94 Mn.upf
Se 78.96 Se.upf
CELL_PARAMETERS angstrom
2.194 -9.336 0.000
2.194 9.336 0.000
0.000 0.000 13.404
ATOMIC_POSITIONS crystal
Ba 0.116 0.884 0.500
Ba 0.122 0.878 0.142
Ba 0.878 0.122 0.642
Ba 0.884 0.116 0.000
Ce 0.199 0.801 0.835
Ce 0.801 0.199 0.335
Mn 0.442 0.558 0.240
Mn 0.558 0.442 0.740
Se 0.042 0.958 0.831
Se 0.299 0.701 0.476
Se 0.311 0.689 0.187
Se 0.349 0.651 0.822
Se 0.499 0.501 0.579
Se 0.501 0.499 0.079
Se 0.651 0.349 0.322
Se 0.689 0.311 0.687
Se 0.701 0.299 0.976
Se 0.958 0.042 0.331
```

Output
The value obtained for the raw formation energy is -14.3 eV/f.u. The calculated total energy is -5.627 eV/atom. The total magnetic moment is 5.02 μB per formula unit. Its crystal system is orthorhombic. Its space group is Cmc2_1.


An optimized crystal structure of Ce6AsSe5, computed with PBE. Values from VASP.

Structure (Quantum ESPRESSO input):
```
&SYSTEM
  ibrav = 0, nat = 12, ntyp = 3
/
ATOMIC_SPECIES
Ce 140.12 Ce.upf
As 74.92 As.upf
Se 78.96 Se.upf
CELL_PARAMETERS angstrom
3.641 -6.309 0.000
3.641 6.309 0.000
-2.429 0.000 6.867
ATOMIC_POSITIONS crystal
Ce 0.083 0.414 0.748
Ce 0.248 0.248 0.252
Ce 0.414 0.083 0.748
Ce 0.586 0.917 0.252
Ce 0.752 0.752 0.748
Ce 0.917 0.586 0.252
As 0.000 0.000 0.500
Se 0.167 0.833 0.000
Se 0.333 0.667 0.500
Se 0.500 0.500 0.000
Se 0.667 0.333 0.500
Se 0.833 0.167 0.000
```

Output
The value obtained for the raw formation energy is -21.2 eV/f.u. The calculated total energy is -6.570 eV/atom. The total magnetic moment is 5.22 μB per formula unit. Its crystal system is monoclinic. Its space group is C2/m.


Q: total magnetic moment of number 1 (SbAuBr)?
A: 0.00 μB per formula unit


Q: total magnetic moment of number 1 (SbAuBr)?
A: 0.00 μB per formula unit